No. 1
# NbSeCl, relaxed, DFT PBE
# uncorrected energy: -6.2120 eV/atom
# crystal system: monoclinic
# raw formation energy: -1078.3 meV/atom
data_NbSeCl
_chemical_formula_sum 'Nb2 Se2 Cl2'
_space_group_name_H-M_alt 'C 1 m 1'
_space_group_IT_number 8
_cell_length_a 5.825
_cell_length_b 3.364
_cell_length_c 7.861
_cell_angle_alpha 90.00
_cell_angle_beta 110.74
_cell_angle_gamma 90.00
loop_
_space_group_symop_operation_xyz
'x,y,z'
'x,-y,z'
'x+1/2,y+1/2,z'
'x+1/2,-y+1/2,z'
loop_
_atom_site_label
_atom_site_type_symbol
_atom_site_fract_x
_atom_site_fract_y
_atom_site_fract_z
Nb1 Nb 0.000 0.000 0.000
Se1 Se 0.278 0.500 0.233
Cl1 Cl 0.059 0.500 0.774

---

No. 2
# Nb2SeCl8, relaxed, DFT PBE
# uncorrected energy: -4.5943 eV/atom
# crystal system: monoclinic
# raw formation energy: -1103.7 meV/atom
data_Nb2SeCl8
_chemical_formula_sum 'Nb4 Se2 Cl16'
_space_group_name_H-M_alt 'C 1 2/m 1'
_space_group_IT_number 12
_cell_length_a 8.349
_cell_length_b 11.861
_cell_length_c 8.064
_cell_angle_alpha 90.00
_cell_angle_beta 92.19
_cell_angle_gamma 90.00
loop_
_space_group_symop_operation_xyz
'x,y,z'
'-x,-y,-z'
'-x,y,-z'
'x,-y,z'
'x+1/2,y+1/2,z'
'-x+1/2,-y+1/2,-z'
'-x+1/2,y+1/2,-z'
'x+1/2,-y+1/2,z'
loop_
_atom_site_label
_atom_site_type_symbol
_atom_site_fract_x
_atom_site_fract_y
_atom_site_fract_z
Nb1 Nb 0.115 0.000 0.223
Se1 Se 0.000 0.000 0.500
Cl1 Cl 0.098 0.196 0.199
Cl2 Cl 0.116 0.500 0.710
Cl3 Cl 0.174 0.000 0.914